VASP calculation (PBE) on K3GeBr6 after structural relaxation.

Properties
Its formation energy (no corrections) is -11.86 eV/f.u. The calculation puts the total energy at -2.98 eV per atom. The magnetic moment comes out at 0.10 μB/atom. The value obtained for the volume is 43.03 Å³/atom.

a = 8.059 Å, b = 10.440 Å, c = 10.440 Å
α = 101.56°, β = 90.00°, γ = 90.00°
Each line ends with the local moment (μB).
Fractional positions:
1 Br 0.189 0.410 0.884  0.13
2 Ge 0.556 0.808 0.192  0.20
3 K 0.968 0.108 0.299  0.00
4 Br 0.189 0.116 0.590  0.13
5 K 0.968 0.701 0.892  0.00
6 Br 0.743 0.190 0.810  0.18
7 Br 0.660 0.630 0.707  0.00
8 Br 0.680 0.950 0.050  0.13
9 K 0.468 0.299 0.108  0.00
10 K 0.468 0.892 0.701  0.00
11 Br 0.160 0.707 0.630  0.00
12 Br 0.689 0.884 0.410  0.13
13 Br 0.180 0.050 0.950  0.13
14 Ge 0.056 0.192 0.808  0.20
15 Br 0.660 0.293 0.370  0.00
16 K 0.374 0.436 0.564  0.00
17 Br 0.689 0.590 0.116  0.13
18 Br 0.243 0.810 0.190  0.18
19 Br 0.160 0.370 0.293  0.00
20 K 0.874 0.564 0.436  0.00